SrBeP | meta-GGA SCAN | PBEsol geometry

Cell lengths 3.783, 3.783, 4.542 Å; angles 90.00, 90.00, 120.00 degrees
Atoms (fractional coordinates):
1 Sr 0.333 0.667 0.500
2 P 0.667 0.333 0.000
3 Be 0.000 0.000 0.000

Summary:
DOS(E_F) in states/eV/atom: 0.43
SG: P-6m2, No. 187
DFT formation energy in eV/atom: -0.8065

Zn2CuTe | meta-GGA SCAN | PBEsol geometry

Cell lengths 3.618, 3.618, 5.349 Å; angles 90.00, 90.00, 90.00 degrees
Atoms (fractional coordinates):
1 Cu 0.000 0.000 0.479
2 Te 0.500 0.500 0.744
3 Zn 0.000 0.000 0.024
4 Zn 0.500 0.500 0.252

Summary:
DOS(E_F) in states/eV/atom: 0.39
SG: P4mm, No. 99
Uncorrected formation energy in eV/atom: 0.23

Ge2PtICl | meta-GGA SCAN | PBEsol geometry

Cell lengths 4.702, 4.702, 5.806 Å; angles 90.00, 90.00, 90.00 degrees
Atoms (fractional coordinates):
1 I 0.000 0.000 0.500
2 Ge 0.000 0.500 0.000
3 Ge 0.500 0.000 0.000
4 Pt 0.500 0.500 0.500
5 Cl 0.000 0.000 0.000

Summary:
DOS(E_F) in states/eV/atom: 0.64
SG: P4/mmm, No. 123
Uncorrected formation energy in eV/atom: 1.30

KMgIn2 | meta-GGA SCAN | PBEsol geometry

Cell lengths 5.319, 5.319, 5.319 Å; angles 60.00, 60.00, 60.00 degrees
Atoms (fractional coordinates):
1 In 0.000 0.000 0.000
2 In 0.750 0.750 0.750
3 K 0.500 0.500 0.500
4 Mg 0.250 0.250 0.250

Summary:
DOS(E_F) in states/eV/atom: 0.35
SG: F-43m, No. 216
DFT formation energy in eV/atom: -0.0425

AgIrN2F | meta-GGA SCAN | PBEsol geometry

Cell lengths 3.832, 4.000, 4.000 Å; angles 90.00, 90.00, 90.00 degrees
Site moments in Bohr magnetons follow the coordinates.
Atoms (fractional coordinates):
1 N 0.000 0.000 0.500  -0.26
2 N 0.000 0.500 0.000  -0.26
3 Ir 0.500 0.500 0.500  1.78
4 Ag 0.000 0.000 0.000  -0.02
5 F 0.500 0.000 0.000  0.01

Summary:
DOS(E_F) in states/eV/atom: 0.54
SG: P4/mmm, No. 123
Uncorrected formation energy in eV/atom: 2.05

CrCdBr2 | meta-GGA SCAN | PBEsol geometry

Cell lengths 5.054, 5.054, 5.054 Å; angles 60.00, 60.00, 60.00 degrees
Site moments in Bohr magnetons follow the coordinates.
Atoms (fractional coordinates):
1 Br 0.000 0.000 0.000  -0.08
2 Br 0.750 0.750 0.750  -0.04
3 Cd 0.500 0.500 0.500  -0.13
4 Cr 0.250 0.250 0.250  4.19

Summary:
E above lowest polymorph in meV per atom: 610.1
DOS(E_F) in states/eV/atom: 0.55
SG: F-43m, No. 216
Uncorrected formation energy in eV/atom: 0.11

Ta2AgSb | meta-GGA SCAN | PBEsol geometry

Cell lengths 3.435, 3.435, 6.161 Å; angles 90.00, 90.00, 90.00 degrees
Atoms (fractional coordinates):
1 Sb 0.500 0.500 0.500
2 Ag 0.500 0.500 0.000
3 Ta 0.000 0.000 0.743
4 Ta 0.000 0.000 0.257

Summary:
DOS(E_F) in states/eV/atom: 0.59
SG: P4/mmm, No. 123
Uncorrected formation energy in eV/atom: 0.40

AlPNF2 | meta-GGA SCAN | PBEsol geometry

Cell lengths 3.509, 3.509, 4.282 Å; angles 90.00, 90.00, 90.00 degrees
Site moments in Bohr magnetons follow the coordinates.
Atoms (fractional coordinates):
1 P 0.500 0.500 0.500  0.42
2 N 0.000 0.000 0.500  0.05
3 Al 0.000 0.000 0.000  0.00
4 F 0.000 0.500 0.000  0.04
5 F 0.500 0.000 0.000  0.04

Summary:
DOS(E_F) in states/eV/atom: 0.01
SG: P4/mmm, No. 123
Uncorrected formation energy in eV/atom: -1.25

ZnCuB3 | meta-GGA SCAN | PBEsol geometry

Cell lengths 3.930, 3.930, 3.930 Å; angles 90.00, 90.00, 90.00 degrees
Atoms (fractional coordinates):
1 Zn 0.000 0.000 0.000
2 B 0.000 0.500 0.000
3 B 0.000 0.000 0.500
4 B 0.500 0.000 0.000
5 Cu 0.500 0.500 0.500

Summary:
DOS(E_F) in states/eV/atom: 0.44
SG: Pm-3m, No. 221
DFT formation energy in eV/atom: 2.0600

GaSe2BrN | meta-GGA SCAN | PBEsol geometry

Cell lengths 4.100, 4.100, 6.700 Å; angles 90.00, 90.00, 90.00 degrees
Atoms (fractional coordinates):
1 Ga 0.500 0.500 0.500
2 Se 0.000 0.500 0.000
3 Se 0.500 0.000 0.000
4 Br 0.000 0.000 0.500
5 N 0.000 0.000 0.000

Summary:
E above lowest polymorph in meV per atom: 0.0
DOS(E_F) in states/eV/atom: 0.43
SG: P4/mmm, No. 123
Uncorrected formation energy in eV/atom: 0.66

Li5V5Ni2O12 | meta-GGA SCAN | PBEsol geometry

Cell lengths 4.982, 4.982, 9.440 Å; angles 92.05, 92.05, 114.91 degrees
Site moments in Bohr magnetons follow the coordinates.
Atoms (fractional coordinates):
1 Li 0.644 0.829 0.736  0.00
2 Li 0.857 0.675 0.258  0.00
3 Li 0.171 0.356 0.264  0.00
4 Li 0.325 0.143 0.742  0.00
5 Li 0.919 0.081 0.500  0.00
6 V 0.413 0.587 0.000  1.95
7 V 0.585 0.415 0.500  1.70
8 V 0.087 0.913 0.000  1.83
9 V 0.508 0.997 0.264  1.63
10 V 0.003 0.492 0.736  1.63
11 Ni 0.241 0.759 0.500  1.49
12 Ni 0.751 0.249 0.000  1.45
13 O 0.247 0.082 0.386  0.07
14 O 0.918 0.753 0.614  0.07
15 O 0.319 0.820 0.858  0.01
16 O 0.180 0.681 0.142  0.01
17 O 0.546 0.709 0.377  0.01
18 O 0.291 0.454 0.623  0.01
19 O 0.747 0.577 0.886  0.05
20 O 0.423 0.253 0.114  0.05
21 O 0.819 0.330 0.359  0.02
22 O 0.670 0.181 0.641  0.02
23 O 0.078 0.241 0.885  0.06
24 O 0.759 0.922 0.115  0.06

Summary:
DOS(E_F) in states/eV/atom: 0.53
SG: C2, No. 5
Uncorrected formation energy in eV/atom: -2.26

BaRe2Hg | meta-GGA SCAN | PBEsol geometry

Cell lengths 4.346, 4.346, 6.750 Å; angles 71.22, 71.22, 60.00 degrees
Atoms (fractional coordinates):
1 Re 0.976 0.976 0.071
2 Re 0.304 0.304 0.089
3 Hg 0.707 0.707 0.878
4 Ba 0.504 0.504 0.487

Summary:
DOS(E_F) in states/eV/atom: 0.13
SG: R3m, No. 160
DFT formation energy in eV/atom: 0.3594